i | AcSmCuPd after structural relaxation. Source: the Alexandria database, functional PBE-GGA.

a = 5.2289 Å, b = 5.2289 Å, c = 5.2289 Å
α = 60.00°, β = 60.00°, γ = 60.00°
Last column: nearest neighbours and their distance in Å.
Element x y z (fractional)
Ac  0.0000  0.0000  0.0000  4 Pd 3.20, 4 Cu 3.20
Sm  0.5000  0.5000  0.5000  4 Pd 3.20, 4 Cu 3.20
Cu  0.2500  0.2500  0.2500  4 Ac 3.20, 4 Sm 3.20
Pd  0.7500  0.7500  0.7500  4 Ac 3.20, 4 Sm 3.20

Results
Its space-group type is F-43m. As for the magnetic moment: 0.0 Bohr magnetons per cell. The calculation puts the density of states at the Fermi level at 3.70 states/eV/f.u.

---

ii | AcSmCuPd after structural relaxation. Source: the Alexandria database, functional PBE-GGA.

a = 4.6383 Å, b = 5.9365 Å, c = 5.9365 Å
α = 39.58°, β = 90.00°, γ = 90.00°
Last column: nearest neighbours and their distance in Å.
Element x y z (fractional)
Ac  0.0000  0.0000  0.0000  3 Cu 3.15-3.16, 4 Pd 3.18
Sm  0.5000  0.7246  0.7246  3 Pd 3.02-3.34, 4 Cu 3.14
Cu  0.0000  0.2823  0.2823  2 Pd 2.82, 4 Sm 3.14, 3 Ac 3.15-3.16
Pd  0.5000  0.4260  0.4260  2 Cu 2.82, 2 Sm 3.02

Results
Its space-group type is Amm2. As for the magnetic moment: 0.0 Bohr magnetons per cell. The calculation puts the density of states at the Fermi level at 3.86 states/eV/f.u.

---

Stability verdict: ii, ahead by 0.081 eV/atom

---

i | SrAcCuPd after structural relaxation. Source: the Alexandria database, functional PBE-GGA.

a = 5.3412 Å, b = 5.3412 Å, c = 5.3412 Å
α = 60.00°, β = 60.00°, γ = 60.00°
Last column: nearest neighbours and their distance in Å.
Element x y z (fractional)
Sr  0.0000  0.0000  0.0000  4 Pd 3.27, 4 Cu 3.27
Ac  0.5000  0.5000  0.5000  4 Cu 3.27, 4 Pd 3.27
Cu  0.2500  0.2500  0.2500  4 Ac 3.27, 4 Sr 3.27
Pd  0.7500  0.7500  0.7500  4 Ac 3.27, 4 Sr 3.27

Results
Its space-group type is F-43m. As for the magnetic moment: 0.0 Bohr magnetons per cell. The calculation puts the density of states at the Fermi level at 3.59 states/eV/f.u.

---

ii | SrAcCuPd after structural relaxation. Source: the Alexandria database, functional PBE-GGA.

a = 4.5117 Å, b = 6.2755 Å, c = 6.2755 Å
α = 39.80°, β = 90.00°, γ = 90.00°
Last column: nearest neighbours and their distance in Å.
Element x y z (fractional)
Sr  0.0000  0.0000  0.0000  4 Cu 3.23, 3 Pd 3.31-3.38
Ac  0.5000  0.2736  0.2736  2 Cu 3.17, 4 Pd 3.19
Cu  0.5000  0.5750  0.5750  2 Pd 2.79
Pd  0.0000  0.7138  0.7138  2 Cu 2.79

Results
Its space-group type is Amm2. As for the magnetic moment: 0.0 Bohr magnetons per cell. The calculation puts the density of states at the Fermi level at 2.55 states/eV/f.u.

---

Stability verdict: ii, ahead by 0.097 eV/atom

---

i | AcZnCuPd after structural relaxation. Source: the Alexandria database, functional PBE-GGA.

a = 4.9747 Å, b = 4.9747 Å, c = 4.9747 Å
α = 60.00°, β = 60.00°, γ = 60.00°
Last column: nearest neighbours and their distance in Å.
Element x y z (fractional)
Ac  0.0000  0.0000  0.0000  4 Cu 3.05, 4 Pd 3.05
Zn  0.5000  0.5000  0.5000  4 Cu 3.05, 4 Pd 3.05
Cu  0.7500  0.7500  0.7500  4 Ac 3.05, 4 Zn 3.05
Pd  0.2500  0.2500  0.2500  4 Zn 3.05, 4 Ac 3.05

Results
Its space-group type is F-43m. As for the magnetic moment: 0.0 Bohr magnetons per cell. The calculation puts the density of states at the Fermi level at 2.06 states/eV/f.u.

---

ii | AcZnCuPd after structural relaxation. Source: the Alexandria database, functional PBE-GGA.

a = 4.4371 Å, b = 4.4371 Å, c = 5.7351 Å
α = 112.93°, β = 112.93°, γ = 60.08°
Last column: nearest neighbours and their distance in Å.
Element x y z (fractional)
Ac  0.0000  0.0000  0.0000  4 Cu 3.08-3.29, 4 Pd 3.12-3.25
Zn  0.4999  0.4999  0.4997  3 Cu 2.61, 3 Pd 2.62
Cu  0.7995  0.7995  0.3994  3 Zn 2.61, 3 Pd 2.78
Pd  0.2033  0.2033  0.6100  3 Zn 2.62, 3 Cu 2.78

Results
Its space-group type is Cm. As for the magnetic moment: 0.0 Bohr magnetons per cell. The calculation puts the density of states at the Fermi level at 2.51 states/eV/f.u.

---

Stability verdict: ii, ahead by 0.222 eV/atom

---

i | AcPm2Cu after structural relaxation. Source: the Alexandria database, functional PBE-GGA.

a = 10.4381 Å, b = 10.4381 Å, c = 10.4381 Å
α = 21.12°, β = 21.12°, γ = 21.12°
Last column: nearest neighbours and their distance in Å.
Element x y z (fractional)
Ac  0.0000  0.0000  0.0000  6 Ac 3.83, 6 Pm 3.85
Pm  0.2305  0.2305  0.2305  3 Cu 2.95
Pm  0.7695  0.7695  0.7695  3 Cu 2.95
Cu  0.5000  0.5000  0.5000  6 Pm 2.95

Results
Its space-group type is R-3m. As for the magnetic moment: 0.0 Bohr magnetons per cell. The calculation puts the density of states at the Fermi level at 6.21 states/eV/f.u.

---

ii | AcPm2Cu after structural relaxation. Source: the Alexandria database, functional PBE-GGA.

a = 5.5610 Å, b = 5.5610 Å, c = 5.5610 Å
α = 60.00°, β = 60.00°, γ = 60.00°
Last column: nearest neighbours and their distance in Å.
Element x y z (fractional)
Ac  0.0000  0.0000  0.0000  8 Pm 3.41
Pm  0.2500  0.2500  0.2500  4 Cu 3.41, 4 Ac 3.41
Pm  0.7500  0.7500  0.7500  4 Cu 3.41, 4 Ac 3.41
Cu  0.5000  0.5000  0.5000  8 Pm 3.41

Results
Its space-group type is Fm-3m. As for the magnetic moment: 0.0 Bohr magnetons per cell. The calculation puts the density of states at the Fermi level at 7.05 states/eV/f.u.

---

iii | AcPm2Cu after structural relaxation. Source: the Alexandria database, functional PBE-GGA.

a = 3.6887 Å, b = 3.6887 Å, c = 9.0402 Å
α = 90.00°, β = 90.00°, γ = 90.00°
Last column: nearest neighbours and their distance in Å.
Element x y z (fractional)
Ac  0.0000  0.0000  0.0000  4 Ac 3.69, 8 Pm 3.86
Pm  0.5000  0.5000  0.3143  4 Cu 3.10, 1 Pm 3.36
Pm  0.5000  0.5000  0.6857  4 Cu 3.10, 1 Pm 3.36
Cu  0.0000  0.0000  0.5000  8 Pm 3.10

Results
Its space-group type is P4/mmm. As for the magnetic moment: 0.0 Bohr magnetons per cell. The calculation puts the density of states at the Fermi level at 4.00 states/eV/f.u.

---

iv | AcPm2Cu after structural relaxation. Source: the Alexandria database, functional PBE-GGA.

a = 5.6710 Å, b = 5.6710 Å, c = 3.7832 Å
α = 90.00°, β = 90.00°, γ = 90.00°
Last column: nearest neighbours and their distance in Å.
Element x y z (fractional)
Ac  0.0000  0.0000  0.0000  8 Pm 3.41, 2 Ac 3.78
Pm  0.0000  0.5000  0.5000  4 Cu 3.41, 4 Ac 3.41, 2 Pm 3.78
Pm  0.5000  0.0000  0.5000  4 Cu 3.41, 4 Ac 3.41, 2 Pm 3.78
Cu  0.5000  0.5000  0.0000  8 Pm 3.41, 2 Cu 3.78

Results
Its space-group type is P4/mmm. As for the magnetic moment: 0.0 Bohr magnetons per cell. The calculation puts the density of states at the Fermi level at 5.97 states/eV/f.u.

---

Stability verdict: iii, ahead by 0.106 eV/atom

---

i | AcPmCu2 after structural relaxation. Source: the Alexandria database, functional PBE-GGA.

a = 4.0904 Å, b = 4.5594 Å, c = 5.8477 Å
α = 90.00°, β = 110.27°, γ = 90.00°
Last column: nearest neighbours and their distance in Å.
Element x y z (fractional)
Ac  0.0000  0.0000  0.0000  7 Cu 3.09-3.22
Pm  0.2845  0.5000  0.5665  6 Cu 2.96-3.16
Cu  0.5889  0.5000  0.1746  2 Cu 2.66, 2 Pm 2.96-2.97
Cu  0.7129  0.0000  0.4247  2 Cu 2.66

Results
Its space-group type is Pm. As for the magnetic moment: 0.0 Bohr magnetons per cell. The calculation puts the density of states at the Fermi level at 3.31 states/eV/f.u.

---

ii | AcPmCu2 after structural relaxation. Source: the Alexandria database, functional PBE-GGA.

a = 8.0079 Å, b = 8.0079 Å, c = 8.0079 Å
α = 29.66°, β = 29.66°, γ = 29.66°
Last column: nearest neighbours and their distance in Å.
Element x y z (fractional)
Ac  0.0000  0.0000  0.0000  6 Cu 3.13
Pm  0.5000  0.5000  0.5000  6 Cu 2.96
Cu  0.2443  0.2443  0.2443  3 Pm 2.96, 3 Ac 3.13
Cu  0.7557  0.7557  0.7557  3 Pm 2.96, 3 Ac 3.13

Results
Its space-group type is R-3m. As for the magnetic moment: 0.0 Bohr magnetons per cell. The calculation puts the density of states at the Fermi level at 3.75 states/eV/f.u.

---

iii | AcPmCu2 after structural relaxation. Source: the Alexandria database, functional PBE-GGA.

a = 5.2185 Å, b = 5.2185 Å, c = 5.2185 Å
α = 60.00°, β = 60.00°, γ = 60.00°
Last column: nearest neighbours and their distance in Å.
Element x y z (fractional)
Ac  0.0000  0.0000  0.0000  8 Cu 3.20
Pm  0.5000  0.5000  0.5000  8 Cu 3.20
Cu  0.2500  0.2500  0.2500  4 Ac 3.20, 4 Pm 3.20
Cu  0.7500  0.7500  0.7500  4 Ac 3.20, 4 Pm 3.20

Results
Its space-group type is Fm-3m. As for the magnetic moment: 0.0 Bohr magnetons per cell. The calculation puts the density of states at the Fermi level at 2.38 states/eV/f.u.

---

Stability verdict: i, ahead by 0.055 eV/atom

---

i | Ac2PmCu after structural relaxation. Source: the Alexandria database, functional PBE-GGA.

a = 3.8342 Å, b = 3.8342 Å, c = 9.1805 Å
α = 90.00°, β = 90.00°, γ = 90.00°
Last column: nearest neighbours and their distance in Å.
Element x y z (fractional)
Ac  0.0000  0.0000  0.2028  4 Cu 3.29
Ac  0.0000  0.0000  0.7972  4 Cu 3.29
Pm  0.5000  0.5000  0.5000  4 Pm 3.83, 8 Ac 3.85
Cu  0.5000  0.5000  0.0000  8 Ac 3.29

Results
Its space-group type is P4/mmm. As for the magnetic moment: 0.0 Bohr magnetons per cell. The calculation puts the density of states at the Fermi level at 5.45 states/eV/f.u.

---

ii | Ac2PmCu after structural relaxation. Source: the Alexandria database, functional PBE-GGA.

a = 12.1104 Å, b = 12.1104 Å, c = 12.1104 Å
α = 18.15°, β = 18.15°, γ = 18.15°
Last column: nearest neighbours and their distance in Å.
Element x y z (fractional)
Ac  0.0815  0.0815  0.0815  1 Cu 2.91
Ac  0.9185  0.9185  0.9185  1 Cu 2.91
Pm  0.5000  0.5000  0.5000  6 Ac 3.76, 6 Pm 3.82
Cu  0.0000  0.0000  0.0000  2 Ac 2.91

Results
Its space-group type is R-3m. As for the magnetic moment: 0.0 Bohr magnetons per cell. The calculation puts the density of states at the Fermi level at 4.60 states/eV/f.u.

---

Stability verdict: i, ahead by 0.475 eV/atom